# 1
Computed, not measured: a relaxed NaPa2TlO8 crystal at the PBE level of DFT.

abc: 5.030 7.259 5.044
angles: 90.00 90.84 90.00
Fractional coordinates of all 12 atoms:
Na 0.000 0.000 0.000
Pa 0.500 0.244 0.500
Pa 0.500 0.756 0.500
Tl 0.000 0.500 0.000
O 0.214 0.260 0.217
O 0.214 0.740 0.217
O 0.310 0.500 0.691
O 0.322 0.000 0.680
O 0.678 0.000 0.320
O 0.690 0.500 0.309
O 0.786 0.260 0.783
O 0.786 0.740 0.783

Results
- volume (Å³/cell) = 184
- total moment (μB per cell) = 0.000
- mass density (g cm⁻³) = 7.372
- E_form (uncorrected) (eV/atom) = -2.260

=====

# 2
Computed, not measured: a relaxed NaPaTlO5 crystal at the PBE level of DFT.

abc: 6.314 6.314 8.189
angles: 101.57 101.57 112.84
Fractional coordinates of all 16 atoms:
Na 0.181 0.819 0.750
Na 0.819 0.181 0.250
Pa 0.500 0.500 0.000
Pa 0.500 0.500 0.500
Tl 0.192 0.808 0.250
Tl 0.808 0.192 0.750
O 0.131 0.265 0.945
O 0.187 0.543 0.380
O 0.265 0.131 0.445
O 0.426 0.574 0.750
O 0.457 0.813 0.120
O 0.543 0.187 0.880
O 0.574 0.426 0.250
O 0.735 0.869 0.555
O 0.813 0.457 0.620
O 0.869 0.735 0.055

Results
- volume (Å³/cell) = 280
- total moment (μB per cell) = 1.832
- mass density (g cm⁻³) = 6.378
- E_form (uncorrected) (eV/atom) = -1.917

=====

# 3
Computed, not measured: a relaxed NaPaTlO6 crystal at the PBE level of DFT.

abc: 5.754 5.754 4.800
angles: 90.00 90.00 120.00
Fractional coordinates of all 9 atoms:
Na 0.000 0.000 0.000
Pa 0.667 0.333 0.500
Tl 0.333 0.667 0.000
O 0.369 0.015 0.251
O 0.369 0.354 0.749
O 0.646 0.015 0.749
O 0.646 0.631 0.251
O 0.985 0.354 0.251
O 0.985 0.631 0.749

Results
- volume (Å³/cell) = 138
- total moment (μB per cell) = 3.047
- mass density (g cm⁻³) = 6.690
- E_form (uncorrected) (eV/atom) = -1.470